Entry 1:
Material: Mn3Cu3O8
Method: DFT, PBE with a Hubbard U
State: optimized geometry

Cell: 5.948 5.948 5.948 Å, 60.48 60.48 60.48°
Sites, in units of the cell vectors:
Mn 0.000 0.500 0.500
Mn 0.500 0.000 0.500
Mn 0.500 0.500 0.000
Cu 0.122 0.122 0.122
Cu 0.500 0.500 0.500
Cu 0.878 0.878 0.878
O 0.256 0.256 0.713
O 0.256 0.713 0.256
O 0.258 0.258 0.258
O 0.287 0.744 0.744
O 0.713 0.256 0.256
O 0.742 0.742 0.742
O 0.744 0.287 0.744
O 0.744 0.744 0.287

Electronic total energy = -89.67 eV per cell
Magnetization = 7.99 μB/f.u.
Crystal system = trigonal

Entry 2:
Material: Mn5CuO8
Method: DFT, PBE with a Hubbard U
State: optimized geometry

Cell: 6.091 6.091 6.091 Å, 60.00 60.00 60.00°
Sites, in units of the cell vectors:
Mn 0.000 0.000 0.000
Mn 0.127 0.624 0.624
Mn 0.624 0.127 0.624
Mn 0.624 0.624 0.127
Mn 0.624 0.624 0.624
Cu 0.250 0.250 0.250
O 0.385 0.385 0.385
O 0.385 0.385 0.844
O 0.385 0.844 0.385
O 0.411 0.863 0.863
O 0.844 0.385 0.385
O 0.863 0.411 0.863
O 0.863 0.863 0.411
O 0.863 0.863 0.863

Electronic total energy = -101.12 eV per cell
Magnetization = 20.00 μB/f.u.
Crystal system = cubic

Entry 3:
Material: Mn3Cu2O8
Method: DFT, PBE with a Hubbard U
State: optimized geometry

Cell: 5.927 5.927 5.027 Å, 109.15 109.15 59.12°
Sites, in units of the cell vectors:
Mn 0.000 0.000 0.000
Mn 0.259 0.741 0.500
Mn 0.741 0.259 0.500
Cu 0.318 0.318 0.853
Cu 0.682 0.682 0.147
O 0.109 0.109 0.751
O 0.126 0.660 0.738
O 0.340 0.874 0.262
O 0.387 0.387 0.277
O 0.613 0.613 0.723
O 0.660 0.126 0.738
O 0.874 0.340 0.262
O 0.891 0.891 0.249

Energy above the most stable polymorph in this dataset = 0.027 eV per atom
Electronic total energy = -83.93 eV per cell
Magnetization = 7.00 μB/f.u.
Crystal system = monoclinic

Entry 4:
Material: Mn3CuO8
Method: DFT, PBE with a Hubbard U
State: optimized geometry

Cell: 5.938 5.938 5.938 Å, 59.06 59.06 59.06°
Sites, in units of the cell vectors:
Mn 0.000 0.500 0.500
Mn 0.500 0.000 0.500
Mn 0.500 0.500 0.000
Cu 0.000 0.000 0.000
O 0.234 0.234 0.729
O 0.234 0.729 0.234
O 0.267 0.267 0.267
O 0.271 0.766 0.766
O 0.729 0.234 0.234
O 0.733 0.733 0.733
O 0.766 0.271 0.766
O 0.766 0.766 0.271

Energy above the most stable polymorph in this dataset = 0.000 eV per atom
Electronic total energy = -78.06 eV per cell
Magnetization = 8.00 μB/f.u.
Crystal system = trigonal

Entry 5:
Material: MnCuO2
Method: DFT, PBE with a Hubbard U
State: optimized geometry

Cell: 5.682 2.982 5.913 Å, 90.00 104.31 90.00°
Sites, in units of the cell vectors:
Mn 0.000 0.000 0.000
Mn 0.500 0.500 0.000
Cu 0.000 0.500 0.500
Cu 0.500 0.000 0.500
O 0.097 0.500 0.820
O 0.403 0.000 0.180
O 0.597 0.000 0.820
O 0.903 0.500 0.180

Electronic total energy = -52.47 eV per cell
Magnetization = 4.00 μB/f.u.
Crystal system = monoclinic

Entry 6:
Material: Mn2CuO5
Method: DFT, PBE with a Hubbard U
State: optimized geometry

Cell: 4.874 5.151 5.220 Å, 63.85 62.80 88.03°
Sites, in units of the cell vectors:
Mn 0.000 0.000 0.000
Mn 0.415 0.417 0.127
Cu 0.680 0.014 0.649
O 0.042 0.257 0.528
O 0.296 0.753 0.863
O 0.346 0.209 0.947
O 0.696 0.172 0.244
O 0.698 0.746 0.021

Electronic total energy = -51.54 eV per cell
Magnetization = 7.00 μB/f.u.
Crystal system = triclinic

Entry 7:
Material: MnCuO2
Method: DFT, PBE with a Hubbard U
State: optimized geometry

Cell: 4.579 4.579 9.619 Å, 90.00 90.00 90.00°
Sites, in units of the cell vectors:
Mn 0.000 0.000 0.000
Mn 0.000 0.500 0.250
Mn 0.500 0.000 0.750
Mn 0.500 0.500 0.500
Cu 0.000 0.000 0.500
Cu 0.000 0.500 0.750
Cu 0.500 0.000 0.250
Cu 0.500 0.500 0.000
O 0.243 0.250 0.625
O 0.250 0.743 0.875
O 0.250 0.757 0.375
O 0.257 0.250 0.125
O 0.743 0.750 0.125
O 0.750 0.243 0.375
O 0.750 0.257 0.875
O 0.757 0.750 0.625

Electronic total energy = -102.24 eV per cell
Magnetization = 4.00 μB/f.u.
Crystal system = tetragonal

Entry 8:
Material: Mn4CuO8
Method: DFT, PBE with a Hubbard U
State: optimized geometry

Cell: 5.988 5.988 6.054 Å, 118.77 118.77 58.12°
Sites, in units of the cell vectors:
Mn 0.000 0.000 0.000
Mn 0.000 0.500 0.000
Mn 0.500 0.000 0.000
Mn 0.500 0.500 0.500
Cu 0.500 0.500 0.000
O 0.220 0.724 0.200
O 0.257 0.257 0.220
O 0.265 0.265 0.804
O 0.276 0.780 0.800
O 0.724 0.220 0.200
O 0.735 0.735 0.196
O 0.743 0.743 0.780
O 0.780 0.276 0.800

Energy above the most stable polymorph in this dataset = 0.051 eV per atom
Electronic total energy = -89.65 eV per cell
Magnetization = 16.63 μB/f.u.
Crystal system = monoclinic

Entry 9:
Material: Mn3Cu2O8
Method: DFT, PBE with a Hubbard U
State: optimized geometry

Cell: 5.626 5.626 5.029 Å, 98.47 98.47 61.59°
Sites, in units of the cell vectors:
Mn 0.000 0.000 0.000
Mn 0.256 0.744 0.500
Mn 0.744 0.256 0.500
Cu 0.289 0.289 0.926
Cu 0.711 0.711 0.074
O 0.101 0.101 0.360
O 0.109 0.651 0.139
O 0.349 0.891 0.861
O 0.394 0.394 0.614
O 0.606 0.606 0.386
O 0.651 0.109 0.139
O 0.891 0.349 0.861
O 0.899 0.899 0.640

Energy above the most stable polymorph in this dataset = 0.000 eV per atom
Electronic total energy = -84.28 eV per cell
Magnetization = 7.01 μB/f.u.
Crystal system = monoclinic

Entry 10:
Material: Mn3CuO
Method: DFT, PBE with a Hubbard U
State: optimized geometry

Cell: 4.266 4.266 4.266 Å, 90.00 90.00 90.00°
Sites, in units of the cell vectors:
Mn 0.000 0.000 0.500
Mn 0.000 0.500 0.000
Mn 0.500 0.000 0.000
Cu 0.500 0.500 0.500
O 0.000 0.000 0.000

Electronic total energy = -32.25 eV per cell
Magnetization = 13.68 μB/f.u.
Crystal system = cubic

Entry 11:
Material: MnCuO2
Method: DFT, PBE with a Hubbard U
State: optimized geometry

Cell: 5.388 5.388 5.388 Å, 90.00 90.00 90.00°
Sites, in units of the cell vectors:
Mn 0.000 0.000 0.000
Mn 0.000 0.500 0.500
Mn 0.500 0.000 0.500
Mn 0.500 0.500 0.000
Cu 0.000 0.000 0.500
Cu 0.000 0.500 0.000
Cu 0.500 0.000 0.000
Cu 0.500 0.500 0.500
O 0.250 0.250 0.250
O 0.250 0.250 0.750
O 0.250 0.750 0.250
O 0.250 0.750 0.750
O 0.750 0.250 0.250
O 0.750 0.250 0.750
O 0.750 0.750 0.250
O 0.750 0.750 0.750

Electronic total energy = -95.30 eV per cell
Magnetization = 4.00 μB/f.u.
Crystal system = cubic

Entry 12:
Material: Mn2CuOsO8
Method: DFT, PBE with a Hubbard U
State: optimized geometry

Cell: 5.680 5.680 5.680 Å, 111.41 111.41 105.65°
Sites, in units of the cell vectors:
Mn 0.000 0.000 0.000
Mn 0.750 0.250 0.500
Cu 0.500 0.500 0.000
Os 0.250 0.750 0.500
O 0.035 0.810 0.225
O 0.145 0.457 0.688
O 0.190 0.415 0.225
O 0.190 0.965 0.775
O 0.543 0.231 0.688
O 0.543 0.855 0.312
O 0.585 0.810 0.775
O 0.769 0.457 0.312

Electronic total energy = -79.05 eV per cell
Magnetization = 8.89 μB/f.u.
Crystal system = tetragonal

Entry 13:
Material: MnCu2OsO6
Method: DFT, PBE with a Hubbard U
State: optimized geometry

Cell: 5.574 5.574 5.574 Å, 55.90 55.90 55.90°
Sites, in units of the cell vectors:
Mn 0.000 0.000 0.000
Cu 0.290 0.290 0.290
Cu 0.743 0.743 0.743
Os 0.503 0.503 0.503
O 0.129 0.406 0.707
O 0.266 0.873 0.587
O 0.406 0.707 0.129
O 0.587 0.266 0.873
O 0.707 0.129 0.406
O 0.873 0.587 0.266

Electronic total energy = -65.84 eV per cell
Magnetization = 4.92 μB/f.u.
Crystal system = trigonal

Entry 14:
Material: Mn7CuP12O48
Method: DFT, PBE with a Hubbard U
State: optimized geometry

Cell: 8.257 8.496 11.681 Å, 90.09 90.67 90.06°
Sites, in units of the cell vectors:
Mn 0.000 0.000 0.000
Mn 0.000 0.498 0.732
Mn 0.004 0.056 0.502
Mn 0.497 0.996 0.730
Mn 0.501 0.055 0.234
Mn 0.501 0.556 0.500
Mn 0.504 0.496 0.004
Cu 0.998 0.559 0.227
P 0.139 0.641 0.973
P 0.142 0.909 0.263
P 0.216 0.776 0.624
P 0.286 0.278 0.609
P 0.359 0.141 0.969
P 0.360 0.412 0.260
P 0.638 0.912 0.473
P 0.642 0.641 0.764
P 0.719 0.778 0.123
P 0.787 0.278 0.110
P 0.859 0.412 0.466
P 0.862 0.141 0.760
O 0.021 0.995 0.341
O 0.022 0.570 0.064
O 0.065 0.700 0.678
O 0.086 0.807 0.938
O 0.108 0.961 0.140
O 0.120 0.527 0.871
O 0.146 0.726 0.271
O 0.160 0.895 0.533
O 0.179 0.401 0.225
O 0.183 0.100 0.933
O 0.187 0.203 0.509
O 0.190 0.402 0.676
O 0.311 0.651 0.558
O 0.315 0.850 0.725
O 0.317 0.953 0.301
O 0.319 0.644 0.010
O 0.341 0.158 0.701
O 0.371 0.322 0.955
O 0.379 0.525 0.363
O 0.393 0.091 0.093
O 0.412 0.244 0.298
O 0.437 0.353 0.556
O 0.472 0.470 0.164
O 0.478 0.050 0.892
O 0.525 0.546 0.841
O 0.525 0.965 0.570
O 0.570 0.851 0.181
O 0.587 0.745 0.434
O 0.612 0.599 0.639
O 0.619 0.028 0.372
O 0.628 0.822 0.783
O 0.660 0.659 0.032
O 0.682 0.142 0.722
O 0.682 0.451 0.432
O 0.686 0.352 0.011
O 0.692 0.153 0.178
O 0.809 0.905 0.055
O 0.818 0.707 0.225
O 0.818 0.911 0.512
O 0.819 0.602 0.799
O 0.838 0.393 0.207
O 0.875 0.232 0.448
O 0.882 0.028 0.861
O 0.892 0.456 0.591
O 0.912 0.309 0.797
O 0.937 0.203 0.055
O 0.975 0.088 0.662
O 0.979 0.513 0.395

Electronic total energy = -471.77 eV per cell
Magnetization = 17.74 μB/f.u.
Crystal system = triclinic

Entry 15:
Material: MnCuP2O8
Method: DFT, PBE with a Hubbard U
State: optimized geometry

Cell: 8.482 8.482 8.482 Å, 60.27 60.27 60.27°
Sites, in units of the cell vectors:
Mn 0.000 0.000 0.000
Mn 0.217 0.217 0.217
Mn 0.717 0.717 0.717
Cu 0.360 0.360 0.360
Cu 0.502 0.502 0.502
Cu 0.859 0.859 0.859
P 0.108 0.818 0.397
P 0.318 0.607 0.900
P 0.397 0.108 0.818
P 0.607 0.900 0.318
P 0.818 0.397 0.108
P 0.900 0.318 0.607
O 0.042 0.857 0.239
O 0.101 0.303 0.442
O 0.117 0.774 0.921
O 0.168 0.976 0.366
O 0.239 0.042 0.857
O 0.270 0.619 0.411
O 0.303 0.442 0.101
O 0.341 0.549 0.746
O 0.366 0.168 0.976
O 0.411 0.270 0.619
O 0.442 0.101 0.303
O 0.479 0.665 0.867
O 0.549 0.746 0.341
O 0.596 0.939 0.807
O 0.619 0.411 0.270
O 0.665 0.867 0.479
O 0.746 0.341 0.549
O 0.774 0.921 0.117
O 0.807 0.596 0.939
O 0.857 0.239 0.042
O 0.867 0.479 0.665
O 0.921 0.117 0.774
O 0.939 0.807 0.596
O 0.976 0.366 0.168

Energy above the most stable polymorph in this dataset = 0.062 eV per atom
Electronic total energy = -244.74 eV per cell
Magnetization = 4.13 μB/f.u.
Crystal system = trigonal

Entry 16:
Material: Mn2CuP3O12
Method: DFT, PBE with a Hubbard U
State: optimized geometry

Cell: 8.519 8.519 8.519 Å, 60.21 60.21 60.21°
Sites, in units of the cell vectors:
Mn 0.142 0.142 0.142
Mn 0.358 0.358 0.358
Mn 0.642 0.642 0.642
Mn 0.858 0.858 0.858
Cu 0.000 0.000 0.000
Cu 0.500 0.500 0.500
P 0.041 0.750 0.459
P 0.250 0.541 0.959
P 0.459 0.041 0.750
P 0.541 0.959 0.250
P 0.750 0.459 0.041
P 0.959 0.250 0.541
O 0.008 0.811 0.617
O 0.056 0.915 0.260
O 0.085 0.740 0.944
O 0.117 0.311 0.508
O 0.189 0.383 0.992
O 0.240 0.585 0.444
O 0.260 0.056 0.915
O 0.311 0.508 0.117
O 0.383 0.992 0.189
O 0.415 0.556 0.760
O 0.444 0.240 0.585
O 0.492 0.883 0.689
O 0.508 0.117 0.311
O 0.556 0.760 0.415
O 0.585 0.444 0.240
O 0.617 0.008 0.811
O 0.689 0.492 0.883
O 0.740 0.944 0.085
O 0.760 0.415 0.556
O 0.811 0.617 0.008
O 0.883 0.689 0.492
O 0.915 0.260 0.056
O 0.944 0.085 0.740
O 0.992 0.189 0.383

Electronic total energy = -251.96 eV per cell
Magnetization = 6.00 μB/f.u.
Crystal system = trigonal

Entry 17:
Material: MnCuP2O8
Method: DFT, PBE with a Hubbard U
State: optimized geometry

Cell: 5.137 6.040 10.115 Å, 90.00 94.23 90.00°
Sites, in units of the cell vectors:
Mn 0.087 0.250 0.302
Mn 0.913 0.750 0.698
Cu 0.350 0.250 0.813
Cu 0.650 0.750 0.187
P 0.086 0.750 0.397
P 0.444 0.750 0.887
P 0.556 0.250 0.113
P 0.914 0.250 0.603
O 0.122 0.750 0.550
O 0.214 0.250 0.639
O 0.220 0.547 0.338
O 0.220 0.953 0.338
O 0.267 0.250 0.141
O 0.278 0.556 0.821
O 0.278 0.944 0.821
O 0.418 0.750 0.039
O 0.582 0.250 0.961
O 0.722 0.056 0.179
O 0.722 0.444 0.179
O 0.733 0.750 0.859
O 0.780 0.047 0.662
O 0.780 0.453 0.662
O 0.786 0.750 0.361
O 0.878 0.250 0.450

Energy above the most stable polymorph in this dataset = 0.000 eV per atom
Electronic total energy = -164.65 eV per cell
Magnetization = 3.82 μB/f.u.
Crystal system = monoclinic